The following is a DFT calculation (PBE-GGA) of a geometry-optimized PmZnH structure.

Computed properties:
raw total energy: -9.15 eV for the cell shown
N(E_F): 2.56 states/eV per cell
SG: No. 107
spin magnetization: 0.00 μB per formula unit

Cell and atoms, written as POSCAR:
```
PmZnH
1.0
-2.100 2.100 3.455
2.100 -2.100 3.455
2.100 2.100 -3.455
Pm Zn H
1 1 1
Cartesian
0.000 0.000 0.000
0.000 0.000 2.956
0.000 0.000 4.658
```